1.
A geometry-optimized CsPNF2 structure. Source: Alexandria, functional PBE-GGA.

symmetry	P4/mmm (123)
electronic total energy	-4.72	eV per atom

```
5
Lattice="4.8359 0.0000 0.0000 0.0000 4.8359 0.0000 0.0000 0.0000 3.3781" Properties=species:S:1:pos:R:3 pbc="T T T"
Cs 2.4180 2.4180 1.6891
P 0.0000 0.0000 0.0000
N 0.0000 0.0000 1.6891
F 0.0000 2.4180 0.0000
F 2.4180 0.0000 0.0000
```

---

2.
A geometry-optimized CsPbN2F structure. Source: Alexandria, functional PBE-GGA.

symmetry	P4/mmm (123)
ΔE to the lowest computed polymorph	0.000	eV/f.u.
electronic total energy	-4.31	eV per atom

```
5
Lattice="-2.0395 4.0582 0.5332 -2.2038 -0.5867 -3.9639 -3.8168 -2.2406 2.4536" Properties=species:S:1:pos:R:3 pbc="T T T"
Pb 0.0000 0.0000 0.0000
Cs -4.0300 0.6155 -0.4885
N -1.1019 -0.2934 -1.9820
N -1.0198 2.0291 0.2666
F -1.9084 -1.1203 1.2268
```

---

3.
A geometry-optimized CsPbN2F structure. Source: Alexandria, functional PBE-GGA.

symmetry	P4/mmm (123)
ΔE to the lowest computed polymorph	4.817	eV/f.u.
electronic total energy	-3.35	eV per atom

```
5
Lattice="4.4372 0.0000 0.0000 0.0000 4.4372 0.0000 0.0000 0.0000 5.0871" Properties=species:S:1:pos:R:3 pbc="T T T"
Pb 2.2186 2.2186 2.5435
Cs 0.0000 0.0000 0.0000
N 0.0000 2.2186 0.0000
N 2.2186 0.0000 0.0000
F 0.0000 0.0000 2.5435
```

---

Calculated formation energy without anion corrections, -1056; 303; 1266 meV/atom (same order as the records).